AlSnRh3: relaxed, PBE.

As for the total moment: 0.0 μB/f.u. As for the uncorrected energy: -5.05 eV/atom. The calculation puts the formation energy at 907.0 meV/atom.

It has space group Pm-3m (No. 221), with a = 4.7903 Å, b = 4.7903 Å, c = 4.7903 Å, α = 90.00°, β = 90.00° and γ = 90.00°. The asymmetric unit holds Al at (0.0000, 0.0000, 0.0000), Sn at (0.5000, 0.5000, 0.5000) and Rh at (0.0000, 0.5000, 0.5000).

---

Al2SnRh: relaxed, PBE.

As for the total moment: 0.0 μB/f.u. As for the uncorrected energy: -4.81 eV/atom. The calculation puts the formation energy at -95.7 meV/atom.

It has space group I-42d (No. 122), with a = 7.8560 Å, b = 7.8560 Å, c = 5.1464 Å, α = 90.00°, β = 90.00° and γ = 90.00°. The asymmetric unit holds Al at (0.1810, 0.2500, 0.1250), Sn at (0.0000, 0.0000, 0.5000) and Rh at (0.0000, 0.0000, 0.0000).

---

Al3SnRh: relaxed, PBE.

As for the total moment: 0.0 μB/f.u. As for the uncorrected energy: -4.63 eV/atom. The calculation puts the formation energy at -111.4 meV/atom.

It has space group Pm-3m (No. 221), with a = 4.7451 Å, b = 4.7451 Å, c = 4.7451 Å, α = 90.00°, β = 90.00° and γ = 90.00°. The asymmetric unit holds Al at (0.0000, 0.0000, 0.5000), Sn at (0.5000, 0.5000, 0.5000) and Rh at (0.0000, 0.0000, 0.0000).

---

AlSnRh2: relaxed, PBE.

As for the total moment: 0.0 μB/f.u. As for the uncorrected energy: -6.28 eV/atom. The calculation puts the formation energy at -664.1 meV/atom.

It has space group P4/mmm (No. 123), with a = 3.0159 Å, b = 3.0159 Å, c = 6.8212 Å, α = 90.00°, β = 90.00° and γ = 90.00°. The asymmetric unit holds Al at (0.0000, 0.0000, 0.0000), Sn at (0.0000, 0.0000, 0.5000) and Rh at (0.5000, 0.5000, 0.2239).